1.
DFT (PBE) results for a relaxed Ni7Se6 crystal.

Summary:
The value obtained for the density of states at the Fermi level is 15.06 states/eV/f.u. For the uncorrected formation energy, the calculation gives 0.047 eV/atom.

Geometry as CIF:
```
data_Ni7Se6
_space_group_name_H-M_alt 'R -3 m'
_space_group_IT_number 166
_space_group_name_Hall '-R 3 2"'
_cell_length_a 5.2257
_cell_length_b 5.2257
_cell_length_c 25.5136
_cell_angle_alpha 90.00
_cell_angle_beta 90.00
_cell_angle_gamma 120.00
loop_
_atom_site_label
_atom_site_type_symbol
_atom_site_fract_x
_atom_site_fract_y
_atom_site_fract_z
_atom_site_occupancy
Ni1 Ni 0.0000 0.0000 0.0000 1
Ni2 Ni 0.0078 0.5039 0.5769 1
Se1 Se 0.0000 0.0000 0.1647 1
Se2 Se 0.0000 0.0000 0.3124 1
Se3 Se 0.0000 0.0000 0.4304 1
```

2.
DFT (PBE) results for a relaxed TbPaC crystal.

Summary:
The value obtained for the density of states at the Fermi level is 4.33 states/eV/f.u. The energy of formation is -0.189 eV per atom. The value obtained for the energy above the most stable polymorph in this dataset is 0 meV per atom.

Geometry as CIF:
```
data_TbPaC
_space_group_name_H-M_alt 'P 3 m 1'
_space_group_IT_number 156
_space_group_name_Hall 'P 3 -2"'
_cell_length_a 3.4992
_cell_length_b 3.4992
_cell_length_c 6.1211
_cell_angle_alpha 90.00
_cell_angle_beta 90.00
_cell_angle_gamma 120.00
loop_
_atom_site_label
_atom_site_type_symbol
_atom_site_fract_x
_atom_site_fract_y
_atom_site_fract_z
_atom_site_occupancy
Tb1 Tb 0.0000 0.0000 0.0000 1
Pa1 Pa 0.6667 0.3333 0.4598 1
C1 C 0.3333 0.6667 0.2505 1
```

3.
DFT (PBE) results for a relaxed H6Pd5 crystal.

Summary:
The value obtained for the total energy is -93.1 eV for the cell shown. The value obtained for the density of states at the Fermi level is 1.98 states/eV/f.u.

Geometry as CIF:
```
data_H6Pd5
_space_group_name_H-M_alt 'C 1 2/m 1'
_space_group_IT_number 12
_space_group_name_Hall '-C 2y'
_cell_length_a 5.042
_cell_length_b 8.583
_cell_length_c 5.014
_cell_angle_alpha 90.00
_cell_angle_beta 110.42
_cell_angle_gamma 90.00
loop_
_atom_site_label
_atom_site_type_symbol
_atom_site_fract_x
_atom_site_fract_y
_atom_site_fract_z
_atom_site_occupancy
H1 H 0.235 0.190 0.260 1
H2 H 0.250 0.000 0.794 1
Pd1 Pd 0.000 0.000 0.000 1
Pd2 Pd 0.000 0.168 0.500 1
Pd3 Pd 0.000 0.334 0.000 1
```

4.
DFT (PBE) results for a relaxed KSrBr2Cl crystal.

Summary:
The value obtained for the density of states at the Fermi level is 0.00 states/eV/f.u. For the uncorrected formation energy, the calculation gives -1.993 eV/atom.

Geometry as CIF:
```
data_KSrBr2Cl
_space_group_name_H-M_alt 'P 4/m m m'
_space_group_IT_number 123
_space_group_name_Hall '-P 4 2'
_cell_length_a 6.008
_cell_length_b 6.008
_cell_length_c 5.642
_cell_angle_alpha 90.00
_cell_angle_beta 90.00
_cell_angle_gamma 90.00
loop_
_atom_site_label
_atom_site_type_symbol
_atom_site_fract_x
_atom_site_fract_y
_atom_site_fract_z
_atom_site_occupancy
K1 K 0.000 0.000 0.000 1
Sr1 Sr 0.500 0.500 0.500 1
Br1 Br 0.000 0.500 0.500 1
Cl1 Cl 0.500 0.500 0.000 1
```

5.
DFT (PBE) results for a relaxed Y2CrCl crystal.

Summary:
The value obtained for the density of states at the Fermi level is 5.10 states/eV/f.u. For the uncorrected formation energy, the calculation gives 0.469 eV/atom. The value obtained for the energy above the most stable polymorph in this dataset is 937 meV per atom.

Geometry as CIF:
```
data_Y2CrCl
_space_group_name_H-M_alt 'F -4 3 m'
_space_group_IT_number 216
_space_group_name_Hall 'F -4 2 3'
_cell_length_a 7.381
_cell_length_b 7.381
_cell_length_c 7.381
_cell_angle_alpha 90.00
_cell_angle_beta 90.00
_cell_angle_gamma 90.00
loop_
_atom_site_label
_atom_site_type_symbol
_atom_site_fract_x
_atom_site_fract_y
_atom_site_fract_z
_atom_site_occupancy
Y1 Y 0.000 0.000 0.000 1
Y2 Y 0.250 0.250 0.250 1
Cr1 Cr 0.250 0.250 0.750 1
Cl1 Cl 0.000 0.000 0.500 1
```

6.
DFT (PBE) results for a relaxed LaPrCo2 crystal.

Summary:
The value obtained for the density of states at the Fermi level is 2.23 states/eV/f.u. The energy of formation is 0.071 eV per atom. The value obtained for the energy above the most stable polymorph in this dataset is 127 meV per atom.

Geometry as CIF:
```
data_LaPrCo2
_space_group_name_H-M_alt 'P 4/m m m'
_space_group_IT_number 123
_space_group_name_Hall '-P 4 2'
_cell_length_a 4.961
_cell_length_b 4.961
_cell_length_c 3.500
_cell_angle_alpha 90.00
_cell_angle_beta 90.00
_cell_angle_gamma 90.00
loop_
_atom_site_label
_atom_site_type_symbol
_atom_site_fract_x
_atom_site_fract_y
_atom_site_fract_z
_atom_site_occupancy
La1 La 0.000 0.000 0.000 1
Pr1 Pr 0.500 0.500 0.000 1
Co1 Co 0.000 0.500 0.500 1
```

7.
DFT (PBE) results for a relaxed AlRu2Pb crystal.

Summary:
The value obtained for the density of states at the Fermi level is 3.70 states/eV/f.u. The energy of formation is 0.254 eV per atom. The value obtained for the energy above the most stable polymorph in this dataset is 252 meV per atom.

Geometry as CIF:
```
data_AlRu2Pb
_space_group_name_H-M_alt 'I m m m'
_space_group_IT_number 71
_space_group_name_Hall '-I 2 2'
_cell_length_a 3.146
_cell_length_b 5.055
_cell_length_c 8.463
_cell_angle_alpha 90.00
_cell_angle_beta 90.00
_cell_angle_gamma 90.00
loop_
_atom_site_label
_atom_site_type_symbol
_atom_site_fract_x
_atom_site_fract_y
_atom_site_fract_z
_atom_site_occupancy
Al1 Al 0.000 0.000 0.000 1
Ru1 Ru 0.000 0.500 0.272 1
Pb1 Pb 0.000 0.000 0.500 1
```

8.
DFT (PBE) results for a relaxed LaTb2Al2 crystal.

Summary:
The value obtained for the density of states at the Fermi level is 6.67 states/eV/f.u. The energy of formation is -0.276 eV per atom. The value obtained for the energy above the most stable polymorph in this dataset is 0 meV per atom.

Geometry as CIF:
```
data_LaTb2Al2
_space_group_name_H-M_alt 'P 4/m b m'
_space_group_IT_number 127
_space_group_name_Hall '-P 4 2ab'
_cell_length_a 8.651
_cell_length_b 8.651
_cell_length_c 3.628
_cell_angle_alpha 90.00
_cell_angle_beta 90.00
_cell_angle_gamma 90.00
loop_
_atom_site_label
_atom_site_type_symbol
_atom_site_fract_x
_atom_site_fract_y
_atom_site_fract_z
_atom_site_occupancy
La1 La 0.000 0.000 0.000 1
Tb1 Tb 0.179 0.321 0.500 1
Al1 Al 0.112 0.612 0.000 1
```

9.
DFT (PBE) results for a relaxed AcZnSn crystal.

Summary:
The value obtained for the density of states at the Fermi level is 2.03 states/eV/f.u. The energy of formation is -0.420 eV per atom. The value obtained for the energy above the most stable polymorph in this dataset is 176 meV per atom.

Geometry as CIF:
```
data_AcZnSn
_space_group_name_H-M_alt 'F -4 3 m'
_space_group_IT_number 216
_space_group_name_Hall 'F -4 2 3'
_cell_length_a 7.102
_cell_length_b 7.102
_cell_length_c 7.102
_cell_angle_alpha 90.00
_cell_angle_beta 90.00
_cell_angle_gamma 90.00
loop_
_atom_site_label
_atom_site_type_symbol
_atom_site_fract_x
_atom_site_fract_y
_atom_site_fract_z
_atom_site_occupancy
Ac1 Ac 0.000 0.000 0.000 1
Zn1 Zn 0.250 0.250 0.250 1
Sn1 Sn 0.000 0.000 0.500 1
```

10.
DFT (PBE) results for a relaxed NaLiHoGa crystal.

Summary:
The value obtained for the density of states at the Fermi level is 3.34 states/eV/f.u. The energy of formation is -0.082 eV per atom.

Geometry as CIF:
```
data_NaLiHoGa
_space_group_name_H-M_alt 'F -4 3 m'
_space_group_IT_number 216
_space_group_name_Hall 'F -4 2 3'
_cell_length_a 7.114
_cell_length_b 7.114
_cell_length_c 7.114
_cell_angle_alpha 90.00
_cell_angle_beta 90.00
_cell_angle_gamma 90.00
loop_
_atom_site_label
_atom_site_type_symbol
_atom_site_fract_x
_atom_site_fract_y
_atom_site_fract_z
_atom_site_occupancy
Na1 Na 0.000 0.000 0.000 1
Li1 Li 0.250 0.250 0.250 1
Ho1 Ho 0.000 0.000 0.500 1
Ga1 Ga 0.250 0.250 0.750 1
```

11.
DFT (PBE) results for a relaxed Tm7Sb2Au2 crystal.

Summary:
The value obtained for the density of states at the Fermi level is 8.53 states/eV/f.u. For the uncorrected formation energy, the calculation gives -0.476 eV/atom.

Geometry as CIF:
```
data_Tm7Sb2Au2
_space_group_name_H-M_alt 'C m m m'
_space_group_IT_number 65
_space_group_name_Hall '-C 2 2'
_cell_length_a 8.915
_cell_length_b 10.662
_cell_length_c 6.906
_cell_angle_alpha 90.00
_cell_angle_beta 90.00
_cell_angle_gamma 90.00
loop_
_atom_site_label
_atom_site_type_symbol
_atom_site_fract_x
_atom_site_fract_y
_atom_site_fract_z
_atom_site_occupancy
Tm1 Tm 0.000 0.000 0.000 1
Tm2 Tm 0.000 0.500 0.242 1
Tm3 Tm 0.250 0.250 0.252 1
Sb1 Sb 0.205 0.000 0.500 1
Au1 Au 0.000 0.279 0.000 1
```

12.
DFT (PBE) results for a relaxed EuNpAsAu crystal.

Summary:
The value obtained for the density of states at the Fermi level is 12.56 states/eV/f.u. The energy of formation is -0.476 eV per atom.

Geometry as CIF:
```
data_EuNpAsAu
_space_group_name_H-M_alt 'F -4 3 m'
_space_group_IT_number 216
_space_group_name_Hall 'F -4 2 3'
_cell_length_a 7.325
_cell_length_b 7.325
_cell_length_c 7.325
_cell_angle_alpha 90.00
_cell_angle_beta 90.00
_cell_angle_gamma 90.00
loop_
_atom_site_label
_atom_site_type_symbol
_atom_site_fract_x
_atom_site_fract_y
_atom_site_fract_z
_atom_site_occupancy
Eu1 Eu 0.000 0.000 0.000 1
Np1 Np 0.000 0.000 0.500 1
As1 As 0.250 0.250 0.750 1
Au1 Au 0.250 0.250 0.250 1
```

What did we get for calculated volume? Answer: 603, 65, 203, 204, 402, 86, 135, 271, 358, 360, 656, 393 Å³ per cell, in the order shown.